The following is a DFT calculation (PBE) of a relaxed structure of Sm2Mg2Al15.

As for the total energy: -3.7587 eV per atom. The total magnetization is 0.00 μB/f.u. The value obtained for the energy of formation from the pure elements is -0.1394 eV/atom. The calculation puts the volume at 1076.0 Å³ per cell.

The space group is R-3m (No. 166, hexagonal axes) and the conventional cell measures 9.4917, 9.4917 and 13.7907 Å, with angles of 90.00, 90.00 and 120.00 degrees. The inequivalent atoms are Sm at (0.0000, 0.0000, 0.1456), Mg at (0.0000, 0.0000, 0.3963), Al at (0.0000, 0.2970, 0.5000), Al at (0.0000, 0.5000, 0.0000) and Al at (0.0045, 0.5022, 0.6510).